A geometry-optimized NaTeI2F structure, computed with PBE-GGA.

a = 5.7790 Å, b = 5.7790 Å, c = 6.3069 Å
α = 90.00°, β = 90.00°, γ = 90.00°
Last column: nearest neighbours and their distance in Å.
Fractional positions:
Na (0.0000, 0.0000, 0.0000)  4 I 2.89, 2 Te 3.15
Te (0.0000, 0.0000, 0.5000)  2 Na 3.15
I (0.0000, 0.5000, 0.0000)  2 Na 2.89
I (0.5000, 0.0000, 0.0000)  2 Na 2.89
F (0.5000, 0.5000, 0.5000)  4 Te 4.09, 8 I 4.28

**Energy above the most stable polymorph in this dataset**: 3.54 eV/f.u.
**Space group**: P4/mmm
**Raw formation energy**: 0.131 eV/atom


A geometry-optimized Ca3In2Ag3 structure, computed with PBE-GGA.

a = 8.0731 Å, b = 16.6641 Å, c = 6.3090 Å
α = 90.00°, β = 90.00°, γ = 90.00°
Last column: nearest neighbours and their distance in Å.
Fractional positions:
Ca (0.0217, 0.1059, 0.1459)  6 Ag 3.23-3.35, 3 In 3.37-3.41
Ca (0.0217, 0.3941, 0.1459)  6 Ag 3.23-3.35, 3 In 3.37-3.41
Ca (0.1668, 0.2500, 0.6032)  3 Ag 3.25-3.42, 4 In 3.25-3.28
Ca (0.3332, 0.7500, 0.1032)  3 Ag 3.25-3.42, 4 In 3.25-3.28
Ca (0.4783, 0.6059, 0.6459)  6 Ag 3.23-3.35, 3 In 3.37-3.41
Ca (0.4783, 0.8941, 0.6459)  6 Ag 3.23-3.35, 3 In 3.37-3.41
Ca (0.5217, 0.1059, 0.3541)  6 Ag 3.23-3.35, 3 In 3.37-3.41
Ca (0.5217, 0.3941, 0.3541)  6 Ag 3.23-3.35, 3 In 3.37-3.41
Ca (0.6668, 0.2500, 0.8968)  3 Ag 3.25-3.42, 4 In 3.25-3.28
Ca (0.8332, 0.7500, 0.3968)  3 Ag 3.25-3.42, 4 In 3.25-3.28
Ca (0.9783, 0.6059, 0.8541)  6 Ag 3.23-3.35, 3 In 3.37-3.41
Ca (0.9783, 0.8941, 0.8541)  6 Ag 3.23-3.35, 3 In 3.37-3.41
In (0.1236, 0.6130, 0.3537)  4 Ag 2.75-2.89
In (0.1236, 0.8870, 0.3537)  4 Ag 2.75-2.89
In (0.3764, 0.1130, 0.8537)  4 Ag 2.75-2.89
In (0.3764, 0.3870, 0.8537)  4 Ag 2.75-2.89
In (0.6236, 0.6130, 0.1463)  4 Ag 2.75-2.89
In (0.6236, 0.8870, 0.1463)  4 Ag 2.75-2.89
In (0.8764, 0.1130, 0.6463)  4 Ag 2.75-2.89
In (0.8764, 0.3870, 0.6463)  4 Ag 2.75-2.89
Ag (0.1799, 0.0310, 0.5720)  3 In 2.75-2.84
Ag (0.1799, 0.4690, 0.5720)  3 In 2.75-2.84
Ag (0.1985, 0.7500, 0.6179)  2 In 2.89
Ag (0.3015, 0.2500, 0.1179)  2 In 2.89
Ag (0.3201, 0.5310, 0.0720)  3 In 2.75-2.84
Ag (0.3201, 0.9690, 0.0720)  3 In 2.75-2.84
Ag (0.6799, 0.0310, 0.9280)  3 In 2.75-2.84
Ag (0.6799, 0.4690, 0.9280)  3 In 2.75-2.84
Ag (0.6985, 0.7500, 0.8821)  2 In 2.89
Ag (0.8015, 0.2500, 0.3821)  2 In 2.89
Ag (0.8201, 0.5310, 0.4280)  3 In 2.75-2.84
Ag (0.8201, 0.9690, 0.4280)  3 In 2.75-2.84

**Formation energy from the elements**: -319.8 meV/atom
**Space group**: Pnma


A geometry-optimized Th2HgPd7 structure, computed with PBE-GGA.

a = 8.3372 Å, b = 8.3372 Å, c = 4.1554 Å
α = 90.00°, β = 90.00°, γ = 127.50°
Last column: nearest neighbours and their distance in Å.
Fractional positions:
Th (0.1893, 0.8107, 0.0000)  5 Pd 2.67-2.83
Th (0.8107, 0.1893, 0.0000)  5 Pd 2.67-2.83
Hg (0.5000, 0.5000, 0.5000)  10 Pd 2.80-2.91
Pd (0.0000, 0.0000, 0.0000)  4 Pd 2.76, 2 Th 2.83
Pd (0.2136, 0.4145, 0.0000)  1 Th 2.67, 4 Pd 2.74-2.81, 2 Hg 2.91
Pd (0.3129, 0.6871, 0.5000)  2 Th 2.78, 1 Hg 2.80, 4 Pd 2.81
Pd (0.4145, 0.2136, 0.0000)  1 Th 2.67, 4 Pd 2.74-2.81, 2 Hg 2.91
Pd (0.5855, 0.7864, 0.0000)  1 Th 2.67, 4 Pd 2.74-2.81, 2 Hg 2.91
Pd (0.6871, 0.3129, 0.5000)  2 Th 2.78, 1 Hg 2.80, 4 Pd 2.81
Pd (0.7864, 0.5855, 0.0000)  1 Th 2.67, 4 Pd 2.74-2.81, 2 Hg 2.91

**Formation energy from the elements**: -242.1 meV/atom
**Space group**: Cmmm


A geometry-optimized KCdIn2Ni structure, computed with PBE-GGA.

a = 5.0418 Å, b = 5.0418 Å, c = 5.2112 Å
α = 90.00°, β = 90.00°, γ = 90.00°
Last column: nearest neighbours and their distance in Å.
Fractional positions:
K (0.0000, 0.0000, 0.0000)  4 Cd 3.57, 8 In 3.63
Cd (0.5000, 0.5000, 0.0000)  2 Ni 2.61
In (0.0000, 0.5000, 0.5000)  2 Ni 2.52
In (0.5000, 0.0000, 0.5000)  2 Ni 2.52
Ni (0.5000, 0.5000, 0.5000)  4 In 2.52, 2 Cd 2.61

**Formation energy from the elements**: -88.0 meV/atom
**Space group**: P4/mmm


A geometry-optimized KOs2Cl structure, computed with PBE-GGA.

a = 2.7258 Å, b = 2.7258 Å, c = 9.8343 Å
α = 90.00°, β = 90.00°, γ = 90.00°
Last column: nearest neighbours and their distance in Å.
Fractional positions:
K (0.0000, 0.0000, 0.0000)  4 K 2.73
Os (0.5000, 0.5000, 0.2886)  4 Os 2.73, 4 Cl 2.83
Os (0.5000, 0.5000, 0.7114)  4 Os 2.73, 4 Cl 2.83
Cl (0.0000, 0.0000, 0.5000)  4 Cl 2.73, 8 Os 2.83

**Energy above the most stable polymorph in this dataset**: 5.37 eV/f.u.
**Space group**: P4/mmm
**Raw formation energy**: 1.599 eV/atom


A geometry-optimized Tm2PS structure, computed with PBE-GGA.

a = 3.8980 Å, b = 3.8980 Å, c = 19.1510 Å
α = 90.00°, β = 90.00°, γ = 120.00°
Last column: nearest neighbours and their distance in Å.
Fractional positions:
Tm (0.0000, 0.0000, 0.2468)  3 P 2.72, 3 S 2.79
Tm (0.0000, 0.0000, 0.7532)  3 P 2.72, 3 S 2.79
Tm (0.3333, 0.6667, 0.4198)  3 P 2.72, 3 S 2.79
Tm (0.3333, 0.6667, 0.9135)  3 P 2.72, 3 S 2.79
Tm (0.6667, 0.3333, 0.0865)  3 P 2.72, 3 S 2.79
Tm (0.6667, 0.3333, 0.5802)  3 P 2.72, 3 S 2.79
P (0.0000, 0.0000, 0.5000)  6 Tm 2.72
P (0.3333, 0.6667, 0.1667)  6 Tm 2.72
P (0.6667, 0.3333, 0.8333)  6 Tm 2.72
S (0.0000, 0.0000, 0.0000)  6 Tm 2.79
S (0.3333, 0.6667, 0.6667)  6 Tm 2.79
S (0.6667, 0.3333, 0.3333)  6 Tm 2.79

**Energy above the most stable polymorph in this dataset**: 0.02 eV/f.u.
**Space group**: R-3m
**Raw formation energy**: -1.839 eV/atom


A geometry-optimized CrInCu structure, computed with PBE-GGA.

a = 6.0855 Å, b = 6.0855 Å, c = 6.0855 Å
α = 90.00°, β = 90.00°, γ = 90.00°
Last column: nearest neighbours and their distance in Å.
Fractional positions:
Cr (0.0000, 0.0000, 0.0000)  4 Cu 2.64
Cr (0.0000, 0.5000, 0.5000)  4 Cu 2.64
Cr (0.5000, 0.0000, 0.5000)  4 Cu 2.64
Cr (0.5000, 0.5000, 0.0000)  4 Cu 2.64
In (0.0000, 0.0000, 0.5000)  4 Cu 2.64
In (0.0000, 0.5000, 0.0000)  4 Cu 2.64
In (0.5000, 0.0000, 0.0000)  4 Cu 2.64
In (0.5000, 0.5000, 0.5000)  4 Cu 2.64
Cu (0.2500, 0.2500, 0.2500)  4 Cr 2.64, 4 In 2.64
Cu (0.2500, 0.7500, 0.7500)  4 Cr 2.64, 4 In 2.64
Cu (0.7500, 0.2500, 0.7500)  4 Cr 2.64, 4 In 2.64
Cu (0.7500, 0.7500, 0.2500)  4 Cr 2.64, 4 In 2.64

**Formation energy from the elements**: 417.4 meV/atom
**Space group**: F-43m


A geometry-optimized KBaY structure, computed with PBE-GGA.

a = 4.4360 Å, b = 6.3740 Å, c = 20.8112 Å
α = 90.00°, β = 90.00°, γ = 90.00°
Last column: nearest neighbours and their distance in Å.
Fractional positions:
K (0.0000, 0.0000, 0.0000)  4 K 3.88, 2 Y 4.08
K (0.0000, 0.5000, 0.5000)  4 K 3.88, 2 Y 4.08
K (0.5000, 0.0000, 0.5000)  4 K 3.88, 2 Y 4.08
K (0.5000, 0.5000, 0.0000)  4 K 3.88, 2 Y 4.08
Ba (0.0000, 0.0000, 0.6896)  2 Y 3.76, 4 Ba 3.88
Ba (0.0000, 0.5000, 0.1896)  2 Y 3.76, 4 Ba 3.88
Ba (0.5000, 0.0000, 0.1896)  2 Y 3.76, 4 Ba 3.88
Ba (0.5000, 0.5000, 0.6896)  2 Y 3.76, 4 Ba 3.88
Y (0.0000, 0.0000, 0.3354)  2 Ba 3.76, 4 Y 3.88, 2 K 4.08
Y (0.0000, 0.5000, 0.8354)  2 Ba 3.76, 4 Y 3.88, 2 K 4.08
Y (0.5000, 0.0000, 0.8354)  2 Ba 3.76, 4 Y 3.88, 2 K 4.08
Y (0.5000, 0.5000, 0.3354)  2 Ba 3.76, 4 Y 3.88, 2 K 4.08

**Formation energy from the elements**: 326.7 meV/atom
**Energy above the most stable polymorph in this dataset**: 0.00 eV/f.u.
**Space group**: Fmm2


- What is the formula in the first record?
  NaTeI2F


Copy entry 2 word for word.
A geometry-optimized Ca3In2Ag3 structure, computed with PBE-GGA.

a = 8.0731 Å, b = 16.6641 Å, c = 6.3090 Å
α = 90.00°, β = 90.00°, γ = 90.00°
Last column: nearest neighbours and their distance in Å.
Fractional positions:
Ca (0.0217, 0.1059, 0.1459)  6 Ag 3.23-3.35, 3 In 3.37-3.41
Ca (0.0217, 0.3941, 0.1459)  6 Ag 3.23-3.35, 3 In 3.37-3.41
Ca (0.1668, 0.2500, 0.6032)  3 Ag 3.25-3.42, 4 In 3.25-3.28
Ca (0.3332, 0.7500, 0.1032)  3 Ag 3.25-3.42, 4 In 3.25-3.28
Ca (0.4783, 0.6059, 0.6459)  6 Ag 3.23-3.35, 3 In 3.37-3.41
Ca (0.4783, 0.8941, 0.6459)  6 Ag 3.23-3.35, 3 In 3.37-3.41
Ca (0.5217, 0.1059, 0.3541)  6 Ag 3.23-3.35, 3 In 3.37-3.41
Ca (0.5217, 0.3941, 0.3541)  6 Ag 3.23-3.35, 3 In 3.37-3.41
Ca (0.6668, 0.2500, 0.8968)  3 Ag 3.25-3.42, 4 In 3.25-3.28
Ca (0.8332, 0.7500, 0.3968)  3 Ag 3.25-3.42, 4 In 3.25-3.28
Ca (0.9783, 0.6059, 0.8541)  6 Ag 3.23-3.35, 3 In 3.37-3.41
Ca (0.9783, 0.8941, 0.8541)  6 Ag 3.23-3.35, 3 In 3.37-3.41
In (0.1236, 0.6130, 0.3537)  4 Ag 2.75-2.89
In (0.1236, 0.8870, 0.3537)  4 Ag 2.75-2.89
In (0.3764, 0.1130, 0.8537)  4 Ag 2.75-2.89
In (0.3764, 0.3870, 0.8537)  4 Ag 2.75-2.89
In (0.6236, 0.6130, 0.1463)  4 Ag 2.75-2.89
In (0.6236, 0.8870, 0.1463)  4 Ag 2.75-2.89
In (0.8764, 0.1130, 0.6463)  4 Ag 2.75-2.89
In (0.8764, 0.3870, 0.6463)  4 Ag 2.75-2.89
Ag (0.1799, 0.0310, 0.5720)  3 In 2.75-2.84
Ag (0.1799, 0.4690, 0.5720)  3 In 2.75-2.84
Ag (0.1985, 0.7500, 0.6179)  2 In 2.89
Ag (0.3015, 0.2500, 0.1179)  2 In 2.89
Ag (0.3201, 0.5310, 0.0720)  3 In 2.75-2.84
Ag (0.3201, 0.9690, 0.0720)  3 In 2.75-2.84
Ag (0.6799, 0.0310, 0.9280)  3 In 2.75-2.84
Ag (0.6799, 0.4690, 0.9280)  3 In 2.75-2.84
Ag (0.6985, 0.7500, 0.8821)  2 In 2.89
Ag (0.8015, 0.2500, 0.3821)  2 In 2.89
Ag (0.8201, 0.5310, 0.4280)  3 In 2.75-2.84
Ag (0.8201, 0.9690, 0.4280)  3 In 2.75-2.84

**Formation energy from the elements**: -319.8 meV/atom
**Space group**: Pnma


- What is the formula in the third record?
  Th2HgPd7